Entry 1:
Zr3BCl3 | PBE | optimized geometry

Calculated values
Electronic total energy ... -94.29 eV per cell
M_tot ... 0.0 μB per formula unit

abc: 10.482 10.482 10.482
angles: 33.69 33.69 33.69
Atoms (fractional coordinates):
Zr (0.105, 0.456, 0.807)
Zr (0.193, 0.895, 0.544)
Zr (0.456, 0.807, 0.105)
Zr (0.544, 0.193, 0.895)
Zr (0.807, 0.105, 0.456)
Zr (0.895, 0.544, 0.193)
B (0.167, 0.167, 0.167)
B (0.833, 0.833, 0.833)
Cl (0.068, 0.727, 0.398)
Cl (0.273, 0.602, 0.932)
Cl (0.398, 0.068, 0.727)
Cl (0.602, 0.932, 0.273)
Cl (0.727, 0.398, 0.068)
Cl (0.932, 0.273, 0.602)

Entry 2:
CoB2 | PBE | optimized geometry

Calculated values
Electronic total energy ... -20.51 eV per cell
M_tot ... 0.0 μB per formula unit
Energy relative to the elements ... -0.02 eV/atom

abc: 3.649 3.649 3.649
angles: 135.93 135.93 64.09
Atoms (fractional coordinates):
Co (0.000, 0.000, 0.000)
B (0.250, 0.750, 0.500)
B (0.750, 0.250, 0.500)

Entry 3:
Co5B16 | PBE | optimized geometry

Calculated values
Electronic total energy ... -291.52 eV per cell
M_tot ... 0.0 μB per formula unit
Energy relative to the elements ... -0.16 eV/atom

abc: 19.058 2.927 5.458
angles: 90.00 90.00 90.00
Atoms (fractional coordinates):
Co (0.000, 0.000, 0.000)
Co (0.153, 0.000, 0.425)
Co (0.183, 0.500, 0.046)
Co (0.317, 0.500, 0.046)
Co (0.347, 0.000, 0.425)
Co (0.500, 0.000, 0.000)
Co (0.653, 0.000, 0.575)
Co (0.683, 0.500, 0.954)
Co (0.817, 0.500, 0.954)
Co (0.847, 0.000, 0.575)
B (0.009, 0.500, 0.708)
B (0.068, 0.000, 0.694)
B (0.071, 0.500, 0.493)
B (0.077, 0.500, 0.177)
B (0.105, 0.000, 0.015)
B (0.162, 0.000, 0.786)
B (0.203, 0.500, 0.665)
B (0.250, 0.000, 0.214)
B (0.250, 0.500, 0.387)
B (0.297, 0.500, 0.665)
B (0.338, 0.000, 0.786)
B (0.395, 0.000, 0.015)
B (0.423, 0.500, 0.177)
B (0.429, 0.500, 0.493)
B (0.432, 0.000, 0.694)
B (0.491, 0.500, 0.708)
B (0.509, 0.500, 0.292)
B (0.568, 0.000, 0.306)
B (0.571, 0.500, 0.507)
B (0.577, 0.500, 0.823)
B (0.605, 0.000, 0.985)
B (0.662, 0.000, 0.214)
B (0.703, 0.500, 0.335)
B (0.750, 0.000, 0.786)
B (0.750, 0.500, 0.613)
B (0.797, 0.500, 0.335)
B (0.838, 0.000, 0.214)
B (0.895, 0.000, 0.985)
B (0.923, 0.500, 0.823)
B (0.929, 0.500, 0.507)
B (0.932, 0.000, 0.306)
B (0.991, 0.500, 0.292)

Entry 4:
CoB2 | PBE | optimized geometry

Calculated values
Electronic total energy ... -20.48 eV per cell
M_tot ... 0.0 μB per formula unit
Energy relative to the elements ... -0.01 eV/atom

abc: 3.655 3.655 3.655
angles: 138.88 131.92 65.07
Atoms (fractional coordinates):
Co (0.000, 0.000, 0.000)
B (0.361, 0.361, 0.000)
B (0.733, 0.233, 0.500)

Entry 5:
Co2B | PBE | optimized geometry

Calculated values
Electronic total energy ... -43.24 eV per cell
M_tot ... 1.9 μB per formula unit
Energy relative to the elements ... -0.24 eV/atom

abc: 4.097 4.097 4.097
angles: 105.56 105.56 117.60
Atoms (fractional coordinates):
Co (0.168, 0.668, 0.836)
Co (0.332, 0.168, 0.500)
Co (0.668, 0.832, 0.500)
Co (0.832, 0.332, 0.164)
B (0.250, 0.250, 0.000)
B (0.750, 0.750, 0.000)

Entry 6:
CoB2 | PBE | optimized geometry

Calculated values
Electronic total energy ... -20.38 eV per cell
M_tot ... 0.0 μB per formula unit
Energy relative to the elements ... 0.03 eV/atom

abc: 3.603 3.603 3.603
angles: 47.82 47.82 47.82
Atoms (fractional coordinates):
Co (0.000, 0.000, 0.000)
B (0.503, 0.503, 0.503)
B (0.791, 0.791, 0.791)

Entry 7:
CoB2 | PBE | optimized geometry

Calculated values
Electronic total energy ... -19.82 eV per cell
M_tot ... 0.0 μB per formula unit
Energy relative to the elements ... 0.21 eV/atom

abc: 2.389 2.903 3.566
angles: 90.00 90.00 90.00
Atoms (fractional coordinates):
Co (0.000, 0.000, 0.000)
B (0.500, 0.000, 0.486)
B (0.500, 0.500, 0.760)

Entry 8:
CoB2 | PBE | optimized geometry

Calculated values
Electronic total energy ... -20.13 eV per cell
M_tot ... 0.2 μB per formula unit
Energy relative to the elements ... 0.11 eV/atom

abc: 3.650 3.650 3.650
angles: 138.34 138.34 60.39
Atoms (fractional coordinates):
Co (0.000, 0.000, 0.000)
B (0.326, 0.326, 0.000)
B (0.674, 0.674, 0.000)

Entry 9:
Co23B6 | PBE | optimized geometry

Calculated values
Electronic total energy ... -207.92 eV per cell
M_tot ... 28.6 μB per formula unit
Energy relative to the elements ... -0.15 eV/atom

abc: 7.361 7.361 7.361
angles: 60.00 60.00 60.00
Atoms (fractional coordinates):
Co (0.000, 0.000, 0.000)
Co (0.000, 0.000, 0.337)
Co (0.000, 0.000, 0.663)
Co (0.000, 0.337, 0.000)
Co (0.000, 0.337, 0.663)
Co (0.000, 0.663, 0.000)
Co (0.000, 0.663, 0.337)
Co (0.140, 0.620, 0.620)
Co (0.250, 0.250, 0.250)
Co (0.337, 0.000, 0.000)
Co (0.337, 0.000, 0.663)
Co (0.337, 0.663, 0.000)
Co (0.380, 0.380, 0.380)
Co (0.380, 0.380, 0.860)
Co (0.380, 0.860, 0.380)
Co (0.620, 0.140, 0.620)
Co (0.620, 0.620, 0.140)
Co (0.620, 0.620, 0.620)
Co (0.663, 0.000, 0.000)
Co (0.663, 0.000, 0.337)
Co (0.663, 0.337, 0.000)
Co (0.750, 0.750, 0.750)
Co (0.860, 0.380, 0.380)
B (0.277, 0.277, 0.723)
B (0.277, 0.723, 0.277)
B (0.277, 0.723, 0.723)
B (0.723, 0.277, 0.277)
B (0.723, 0.277, 0.723)
B (0.723, 0.723, 0.277)

Entry 10:
CoB3 | PBE | optimized geometry

Calculated values
Electronic total energy ... -24.86 eV per cell
M_tot ... 0.7 μB per formula unit
Energy relative to the elements ... 0.57 eV/atom

abc: 2.066 2.857 5.350
angles: 90.00 90.00 90.00
Atoms (fractional coordinates):
Co (0.000, 0.000, 0.000)
B (0.000, 0.500, 0.506)
B (0.500, 0.000, 0.658)
B (0.500, 0.500, 0.205)

Entry 11:
CoB2 | PBE | optimized geometry

Calculated values
Electronic total energy ... -20.81 eV per cell
M_tot ... 0.3 μB per formula unit
Energy relative to the elements ... -0.12 eV/atom

abc: 3.724 3.724 3.724
angles: 44.95 44.95 44.95
Atoms (fractional coordinates):
Co (0.000, 0.000, 0.000)
B (0.203, 0.203, 0.203)
B (0.797, 0.797, 0.797)

Entry 12:
CrCoB2 | PBE | optimized geometry

Calculated values
Electronic total energy ... -30.47 eV per cell
M_tot ... 1.4 μB per formula unit
Offset from the most stable computed form ... 0 meV per atom
Energy relative to the elements ... -0.10 eV/atom

abc: 4.059 4.059 4.059
angles: 48.22 48.22 48.22
Atoms (fractional coordinates):
Cr (0.000, 0.000, 0.000)
Co (0.500, 0.500, 0.500)
B (0.217, 0.217, 0.217)
B (0.783, 0.783, 0.783)